Entry from Alexandria: crystalline GaGeOs at its relaxed geometry (GGA-PBE).

a = 3.1673 Å, b = 5.0441 Å, c = 6.4404 Å
α = 107.04°, β = 91.88°, γ = 95.76°
Sites, in units of the cell vectors:
Ga: 0.2318 0.1004 0.3796
Ga: 0.7682 0.8996 0.6204
Ge: 0.3260 0.7237 0.9717
Ge: 0.6740 0.2763 0.0283
Os: 0.2339 0.5648 0.3179
Os: 0.7661 0.4352 0.6821

Calculated values
- V (Å³ per cell) = 98
- space-group type = P-1 (2)
- magnetic moment (μB per cell) = 0.0
- ΔH_f (0 K) (eV/atom) = 0.12
- uncorrected energy (eV per atom) = -6.18
- N(E_F) (states/eV per atom) = 0.4032